No. 1
{"formula": "TbPmPr2Nd2", "functional": "GGA-PBE", "state": "relaxed", "cell": [[5.808, 0.000, 0.000], [0.000, 7.136, 0.000], [0.000, 0.000, 10.020]], "species": ["Tb", "Tb", "Pm", "Pm", "Pr", "Pr", "Pr", "Pr", "Nd", "Nd", "Nd", "Nd"], "frac_coords": [[0.000, 0.008, 0.500], [0.000, 0.508, 0.500], [0.500, 0.258, 0.663], [0.500, 0.758, 0.337], [0.500, 0.008, 0.000], [0.000, 0.258, 0.172], [0.500, 0.508, 0.000], [0.000, 0.758, 0.828], [0.000, 0.258, 0.834], [0.500, 0.257, 0.334], [0.000, 0.758, 0.166], [0.500, 0.757, 0.666]], "sg": "No. 51", "e_form_ev_per_atom": 0.053}

No. 2
{"formula": "CaDy2Ga", "functional": "GGA-PBE", "state": "relaxed", "cell": [[-1.769, -3.531, -2.497], [4.395, -0.966, -1.748], [0.805, -3.011, 3.687]], "species": ["Ca", "Ga", "Dy", "Dy"], "frac_coords": [[0.500, 0.500, 0.500], [0.500, 0.000, 0.000], [0.000, 0.000, 0.500], [0.000, 0.500, 0.000]], "sg": "No. 123", "e_form_ev_per_atom": -0.157}

No. 3
{"formula": "BaSrCa2Tl", "functional": "GGA-PBE", "state": "relaxed", "cell": [[6.169, 0.000, 0.000], [0.000, 6.692, 0.000], [0.000, 0.000, 6.169]], "species": ["Sr", "Tl", "Ca", "Ca", "Ba"], "frac_coords": [[0.500, 0.500, 0.500], [0.000, 0.000, 0.000], [0.000, 0.000, 0.500], [0.500, 0.000, 0.000], [0.000, 0.500, 0.000]], "sg": "No. 123", "e_form_ev_per_atom": -0.026}

No. 4
{"formula": "La2Dy3Er9", "functional": "GGA-PBE", "state": "relaxed", "cell": [[-5.065, -0.454, -1.670], [-4.866, -10.398, -9.543], [-6.418, -8.292, 0.819]], "species": ["La", "La", "Dy", "Dy", "Dy", "Er", "Er", "Er", "Er", "Er", "Er", "Er", "Er", "Er"], "frac_coords": [[0.506, 0.240, 0.739], [0.494, 0.760, 0.261], [0.000, 0.000, 0.000], [0.696, 0.336, 0.258], [0.304, 0.664, 0.742], [0.000, 0.500, 0.500], [0.837, 0.933, 0.751], [0.163, 0.067, 0.249], [0.420, 0.699, 0.993], [0.580, 0.301, 0.007], [0.714, 0.864, 0.505], [0.286, 0.136, 0.495], [0.033, 0.512, 0.777], [0.967, 0.488, 0.223]], "sg": "No. 2", "e_form_ev_per_atom": 0.172}

No. 5
{"formula": "PmDyY14", "functional": "GGA-PBE", "state": "relaxed", "cell": [[7.091, 0.951, 0.000], [-0.951, 7.091, 0.000], [0.000, 0.000, 10.082]], "species": ["Pm", "Dy", "Y", "Y", "Y", "Y", "Y", "Y", "Y", "Y", "Y", "Y", "Y", "Y", "Y", "Y"], "frac_coords": [[0.875, 0.125, 0.000], [0.375, 0.625, 0.000], [0.375, 0.625, 0.500], [0.875, 0.125, 0.500], [0.875, 0.625, 0.000], [0.875, 0.625, 0.500], [0.375, 0.125, 0.000], [0.375, 0.125, 0.500], [0.624, 0.874, 0.750], [0.624, 0.874, 0.250], [0.126, 0.376, 0.750], [0.126, 0.376, 0.250], [0.126, 0.874, 0.750], [0.126, 0.874, 0.250], [0.624, 0.376, 0.750], [0.624, 0.376, 0.250]], "sg": "No. 123", "e_form_ev_per_atom": 0.021}

No. 6
{"formula": "Mo2AsP", "functional": "GGA-PBE", "state": "relaxed", "cell": [[-2.521, 0.530, 1.086], [0.966, -2.377, 1.110], [4.049, 4.917, 7.005]], "species": ["As", "Mo", "Mo", "P"], "frac_coords": [[0.500, 0.500, 0.796], [0.000, 0.000, 0.012], [0.500, 0.500, 0.249], [0.000, 0.000, 0.443]], "sg": "No. 35", "e_form_ev_per_atom": 0.132}

No. 7
{"formula": "RePbSeBr2", "functional": "GGA-PBE", "state": "relaxed", "cell": [[5.298, 0.000, 0.000], [0.000, 5.298, 0.000], [0.000, 0.000, 4.740]], "species": ["Pb", "Re", "Se", "Br", "Br"], "frac_coords": [[0.500, 0.500, 0.500], [0.000, 0.000, 0.000], [0.000, 0.000, 0.500], [0.000, 0.500, 0.000], [0.500, 0.000, 0.000]], "sg": "No. 123", "formation_energy_uncorrected_ev_per_atom": 0.318}

No. 8
{"formula": "KMg2Sb", "functional": "GGA-PBE", "state": "relaxed", "cell": [[4.768, 0.000, 0.000], [0.000, 3.493, -0.020], [0.000, 1.779, 7.543]], "species": ["K", "Mg", "Mg", "Sb"], "frac_coords": [[0.500, 0.699, 0.726], [0.000, 0.012, 0.101], [0.500, 0.450, 0.226], [0.000, 0.339, 0.446]], "sg": "No. 6", "formation_energy_uncorrected_ev_per_atom": -0.139}

no.,total energy (eV per atom)
1,-4.69
2,-3.72
3,-2.02
4,-4.45
5,-6.22
6,-7.80
7,-4.28
8,-2.24